No. 1
The following is a DFT calculation (PBE-GGA) of an optimized crystal structure of LiLa2As.

Values from the calculation:
As for the space group: I-4m2. For the density of states at the Fermi level, the calculation gives 3.7 states/eV per cell. Its calculated formation energy is -0.5561 eV per atom. The calculation puts the uncorrected energy at -4.6607 eV per atom. The total magnetization comes out at 0.00 Bohr magnetons per cell.

Cell: 6.0608 6.0608 6.0608 Å, 136.96 136.96 62.49°
Closest atoms and distances in Å follow each position.
Fractional positions:
As: 0.7500 0.2500 0.5000  8 La 3.14-3.41, 4 Li 3.41
La: 0.0000 0.0000 0.0000  4 Li 3.14, 4 As 3.41, 4 La 3.41
La: 0.2500 0.7500 0.5000  4 As 3.14, 4 La 3.41, 4 Li 3.41
Li: 0.5000 0.5000 0.0000  8 La 3.14-3.41, 4 As 3.41

=====

No. 2
The following is a DFT calculation (PBE-GGA) of an optimized crystal structure of TlHRu2W.

Values from the calculation:
As for the space group: P4/mmm. For the density of states at the Fermi level, the calculation gives 7.7 states/eV per cell. The calculation puts the uncorrected energy at -6.8826 eV per atom. The total magnetization comes out at 0.00 Bohr magnetons per cell.

Cell: 4.1493 3.9244 4.1493 Å, 90.00 90.00 90.00°
Closest atoms and distances in Å follow each position.
Fractional positions:
Ru: 0.0000 0.0000 0.5000  2 H 2.07
Ru: 0.5000 0.0000 0.0000  2 H 2.07
Tl: 0.5000 0.5000 0.5000  8 Ru 2.86, 4 W 2.93
W: 0.0000 0.5000 0.0000  2 H 1.96
H: 0.0000 0.0000 0.0000  2 W 1.96, 4 Ru 2.07

=====

> The highest uncorrected energy belongs to which entry?

LiLa2As

=====

> The highest uncorrected energy belongs to which entry?

LiLa2As